Record 1
DFT (PBE) results for LuCdRe2 after structural relaxation.

Output
**ΔH_f (0 K)**: 0.349 eV per atom

```
data_LuCdRe2
_chemical_formula_sum 'Lu4 Cd4 Re8'
_cell_length_a 6.576
_cell_length_b 6.576
_cell_length_c 6.576
_cell_angle_alpha 90.00
_cell_angle_beta 90.00
_cell_angle_gamma 90.00
_symmetry_space_group_name_H-M 'F -4 3 m'
_symmetry_Int_Tables_number 216
_symmetry_space_group_name_Hall 'F -4 2 3'
loop_
_atom_site_label
_atom_site_type_symbol
_atom_site_fract_x
_atom_site_fract_y
_atom_site_fract_z
Lu1 Lu 0.000 0.000 0.000
Cd1 Cd 0.250 0.250 0.250
Re1 Re 0.000 0.000 0.500
Re2 Re 0.250 0.250 0.750
```


Record 2
DFT (PBE) results for BaIn2Pt2 after structural relaxation.

Output
**Final energy**: -4.4966 eV/atom

```
data_BaIn2Pt2
_chemical_formula_sum 'Ba2 In4 Pt4'
_cell_length_a 4.968
_cell_length_b 4.968
_cell_length_c 10.427
_cell_angle_alpha 90.00
_cell_angle_beta 90.00
_cell_angle_gamma 90.00
_symmetry_space_group_name_H-M 'I 4/m m m'
_symmetry_Int_Tables_number 139
_symmetry_space_group_name_Hall '-I 4 2'
loop_
_atom_site_label
_atom_site_type_symbol
_atom_site_fract_x
_atom_site_fract_y
_atom_site_fract_z
Ba1 Ba 0.000 0.000 0.000
In1 In 0.000 0.000 0.355
Pt1 Pt 0.000 0.500 0.250
```


Record 3
DFT (PBE) results for NbTc2Mo after structural relaxation.

Output
**ΔH_f (0 K)**: -0.002 eV per atom

```
data_NbTc2Mo
_chemical_formula_sum 'Nb4 Tc8 Mo4'
_cell_length_a 6.309
_cell_length_b 6.309
_cell_length_c 6.309
_cell_angle_alpha 90.00
_cell_angle_beta 90.00
_cell_angle_gamma 90.00
_symmetry_space_group_name_H-M 'F -4 3 m'
_symmetry_Int_Tables_number 216
_symmetry_space_group_name_Hall 'F -4 2 3'
loop_
_atom_site_label
_atom_site_type_symbol
_atom_site_fract_x
_atom_site_fract_y
_atom_site_fract_z
Nb1 Nb 0.000 0.000 0.000
Tc1 Tc 0.000 0.000 0.500
Tc2 Tc 0.250 0.250 0.750
Mo1 Mo 0.250 0.250 0.250
```


Record 4
DFT (PBE) results for SmTcAu after structural relaxation.

Output
**ΔH_f (0 K)**: 0.816 eV per atom

```
data_SmTcAu
_chemical_formula_sum 'Sm4 Tc4 Au4'
_cell_length_a 6.638
_cell_length_b 6.638
_cell_length_c 6.638
_cell_angle_alpha 90.00
_cell_angle_beta 90.00
_cell_angle_gamma 90.00
_symmetry_space_group_name_H-M 'F -4 3 m'
_symmetry_Int_Tables_number 216
_symmetry_space_group_name_Hall 'F -4 2 3'
loop_
_atom_site_label
_atom_site_type_symbol
_atom_site_fract_x
_atom_site_fract_y
_atom_site_fract_z
Sm1 Sm 0.000 0.000 0.000
Tc1 Tc 0.250 0.250 0.250
Au1 Au 0.250 0.250 0.750
```


What did the third record say?
DFT (PBE) results for NbTc2Mo after structural relaxation.

Output
**ΔH_f (0 K)**: -0.002 eV per atom

```
data_NbTc2Mo
_chemical_formula_sum 'Nb4 Tc8 Mo4'
_cell_length_a 6.309
_cell_length_b 6.309
_cell_length_c 6.309
_cell_angle_alpha 90.00
_cell_angle_beta 90.00
_cell_angle_gamma 90.00
_symmetry_space_group_name_H-M 'F -4 3 m'
_symmetry_Int_Tables_number 216
_symmetry_space_group_name_Hall 'F -4 2 3'
loop_
_atom_site_label
_atom_site_type_symbol
_atom_site_fract_x
_atom_site_fract_y
_atom_site_fract_z
Nb1 Nb 0.000 0.000 0.000
Tc1 Tc 0.000 0.000 0.500
Tc2 Tc 0.250 0.250 0.750
Mo1 Mo 0.250 0.250 0.250
```


What did the fourth record say?
DFT (PBE) results for SmTcAu after structural relaxation.

Output
**ΔH_f (0 K)**: 0.816 eV per atom

```
data_SmTcAu
_chemical_formula_sum 'Sm4 Tc4 Au4'
_cell_length_a 6.638
_cell_length_b 6.638
_cell_length_c 6.638
_cell_angle_alpha 90.00
_cell_angle_beta 90.00
_cell_angle_gamma 90.00
_symmetry_space_group_name_H-M 'F -4 3 m'
_symmetry_Int_Tables_number 216
_symmetry_space_group_name_Hall 'F -4 2 3'
loop_
_atom_site_label
_atom_site_type_symbol
_atom_site_fract_x
_atom_site_fract_y
_atom_site_fract_z
Sm1 Sm 0.000 0.000 0.000
Tc1 Tc 0.250 0.250 0.250
Au1 Au 0.250 0.250 0.750
```